Below is a relaxed Tl2InPb crystal, with properties calculated at the GGA-PBE level.

* energy of formation: 0.019 eV/atom
* space-group type: No. 216
* volume: 30.14 Å³/atom
* total energy: -2.78 eV/atom
* crystal system: cubic

a = 5.5451 Å, b = 5.5451 Å, c = 5.5451 Å
α = 60.00°, β = 60.00°, γ = 60.00°
Closest atoms and distances in Å follow each position.
Positions (direct):
Pb1 0.7500 0.7500 0.7500  4 Tl 3.40, 4 In 3.40
Tl1 0.0000 0.0000 0.0000  4 Tl 3.40, 4 Pb 3.40
Tl2 0.2500 0.2500 0.2500  4 Tl 3.40, 4 In 3.40
In1 0.5000 0.5000 0.5000  4 Tl 3.40, 4 Pb 3.40



Below is a relaxed Tl16In12Pb crystal, with properties calculated at the GGA-PBE level.

* energy of formation: 0.010 eV/atom
* space-group type: No. 8
* volume: 29.77 Å³/atom
* total energy: -2.56 eV/atom
* crystal system: monoclinic

a = 10.4095 Å, b = 10.4095 Å, c = 10.3483 Å
α = 109.13°, β = 109.13°, γ = 110.14°
Closest atoms and distances in Å follow each position.
Positions (direct):
Tl1 0.3576 0.3576 0.3627  3 Tl 3.45-3.73, 1 Pb 3.45, 6 In 3.56-3.65
Tl2 0.0008 0.0008 0.9998  12 In 3.62-3.70, 4 Tl 3.68-3.76
Tl3 0.9995 0.9995 0.6435  4 Tl 3.42-3.68, 6 In 3.57-3.63
Tl4 0.3169 0.3169 0.7140  5 In 3.23-3.61, 5 Tl 3.42-3.60
Tl5 0.6800 0.3981 0.9987  5 In 3.24-3.59, 6 Tl 3.42-3.61, 1 Pb 3.57
Tl6 0.6032 0.2804 0.6017  5 In 3.25-3.61, 7 Tl 3.45-3.63
Tl7 0.9984 0.6814 0.3948  5 In 3.26-3.62, 6 Tl 3.46-3.61, 1 Pb 3.58
Tl8 0.0027 0.6402 0.0009  4 Tl 3.42-3.76, 6 In 3.59-3.68
Tl9 0.7161 0.3213 0.3204  5 In 3.26-3.65, 6 Tl 3.44-3.61, 1 Pb 3.60
Tl10 0.3959 0.0005 0.6801  5 In 3.26-3.64, 7 Tl 3.44-3.60
Tl11 0.0005 0.3959 0.6801  5 In 3.26-3.64, 7 Tl 3.44-3.60
Tl12 0.3213 0.7161 0.3204  5 In 3.26-3.65, 6 Tl 3.44-3.61, 1 Pb 3.60
Tl13 0.6402 0.0027 0.0009  4 Tl 3.42-3.76, 6 In 3.59-3.68
Tl14 0.6814 0.9984 0.3948  5 In 3.26-3.62, 6 Tl 3.46-3.61, 1 Pb 3.58
Tl15 0.2804 0.6032 0.6017  5 In 3.25-3.61, 7 Tl 3.45-3.63
Tl16 0.3981 0.6800 0.9987  5 In 3.24-3.59, 6 Tl 3.42-3.61, 1 Pb 3.57
In1 0.8107 0.8107 0.1752  3 In 3.06-3.18, 1 Pb 3.26, 2 Tl 3.42
In2 0.6278 0.6278 0.8144  3 In 3.06-3.16, 1 Tl 3.23
In3 0.3697 0.1912 0.0043  3 In 3.05-3.19, 2 Tl 3.24-3.40
In4 0.8204 0.6332 0.6337  3 In 3.06-3.20, 2 Tl 3.26-3.42, 1 Pb 3.38
In5 0.1852 0.9990 0.3658  3 In 3.07-3.18, 3 Tl 3.26-3.41
In6 0.3692 0.9984 0.1869  3 In 3.07-3.18, 3 Tl 3.26-3.42
In7 0.1815 0.8148 0.8131  3 In 3.06-3.19, 2 Tl 3.25-3.38
In8 0.8148 0.1815 0.8131  3 In 3.06-3.19, 2 Tl 3.25-3.38
In9 0.9984 0.3692 0.1869  3 In 3.07-3.18, 3 Tl 3.26-3.42
In10 0.9990 0.1852 0.3658  3 In 3.07-3.18, 3 Tl 3.26-3.41
In11 0.6332 0.8204 0.6337  3 In 3.06-3.20, 2 Tl 3.26-3.42, 1 Pb 3.38
In12 0.1912 0.3697 0.0043  3 In 3.05-3.19, 2 Tl 3.24-3.40
Pb1 0.6061 0.6061 0.2894  5 In 3.26-3.60, 7 Tl 3.45-3.60



Below is a relaxed Tl5In2Pb12 crystal, with properties calculated at the GGA-PBE level.

* energy of formation: 0.030 eV/atom
* space-group type: No. 2
* volume: 31.46 Å³/atom
* total energy: -3.22 eV/atom
* crystal system: triclinic

a = 6.1581 Å, b = 11.2039 Å, c = 9.5991 Å
α = 68.60°, β = 83.00°, γ = 75.96°
Closest atoms and distances in Å follow each position.
Positions (direct):
Tl1 0.4350 0.2208 0.2238  7 Pb 3.42-3.82, 3 Tl 3.55-3.75
Tl2 0.8751 0.3377 0.3300  8 Pb 3.42-3.69, 2 Tl 3.55-3.67, 1 In 3.74
Tl3 0.5000 0.0000 0.0000  6 Pb 3.29-3.52
Tl4 0.1249 0.6623 0.6700  8 Pb 3.42-3.69, 2 Tl 3.55-3.67, 1 In 3.74
Tl5 0.5650 0.7792 0.7762  7 Pb 3.42-3.82, 3 Tl 3.55-3.75
In1 0.9982 0.2563 0.7301  7 Pb 3.23-3.44
In2 0.0018 0.7437 0.2699  7 Pb 3.23-3.44
Pb1 0.0208 0.8887 0.9056  1 In 3.28, 2 Tl 3.29-3.52, 3 Pb 3.32-3.53
Pb2 0.1983 0.5543 0.0567  6 Pb 3.36-3.67, 1 In 3.39, 3 Tl 3.49-3.63
Pb3 0.1938 0.0489 0.5607  1 In 3.23, 5 Pb 3.30-3.55, 3 Tl 3.45-3.47
Pb4 0.6056 0.6555 0.1565  1 In 3.27, 5 Pb 3.36-3.65, 3 Tl 3.42-3.52
Pb5 0.6126 0.1469 0.6390  1 In 3.26, 5 Pb 3.30-3.55, 2 Tl 3.32-3.44
Pb6 0.2966 0.4466 0.4450  2 In 3.31-3.44, 5 Pb 3.42-3.65, 3 Tl 3.56-3.69
Pb7 0.7034 0.5534 0.5550  2 In 3.31-3.44, 5 Pb 3.42-3.65, 3 Tl 3.56-3.69
Pb8 0.3944 0.3445 0.8435  1 In 3.27, 5 Pb 3.36-3.65, 3 Tl 3.42-3.52
Pb9 0.3874 0.8531 0.3610  1 In 3.26, 5 Pb 3.30-3.55, 2 Tl 3.32-3.44
Pb10 0.8017 0.4457 0.9433  6 Pb 3.36-3.67, 1 In 3.39, 3 Tl 3.49-3.63
Pb11 0.8062 0.9511 0.4393  1 In 3.23, 5 Pb 3.30-3.55, 3 Tl 3.45-3.47
Pb12 0.9792 0.1113 0.0944  1 In 3.28, 2 Tl 3.29-3.52, 3 Pb 3.32-3.53



Below is a relaxed TlInPb2 crystal, with properties calculated at the GGA-PBE level.

* energy of formation: 0.007 eV/atom
* space-group type: No. 65
* volume: 30.25 Å³/atom
* total energy: -3.12 eV/atom
* crystal system: orthorhombic

a = 3.4833 Å, b = 3.4833 Å, c = 10.0691 Å
α = 90.00°, β = 90.00°, γ = 97.87°
Closest atoms and distances in Å follow each position.
Positions (direct):
Tl1 0.5000 0.5000 0.0000  8 Pb 3.46-3.69, 4 Tl 3.48
In1 0.5000 0.5000 0.5000  8 Pb 3.34-3.58, 4 In 3.48
Pb1 0.0000 0.0000 0.2578  4 In 3.34-3.58, 4 Tl 3.46-3.69, 4 Pb 3.48
Pb2 0.0000 0.0000 0.7422  4 In 3.34-3.58, 4 Tl 3.46-3.69, 4 Pb 3.48



Below is a relaxed TlInPb2 crystal, with properties calculated at the GGA-PBE level.

* energy of formation: 0.036 eV/atom
* space-group type: No. 6
* volume: 30.43 Å³/atom
* total energy: -3.09 eV/atom
* crystal system: monoclinic

a = 5.3610 Å, b = 3.5079 Å, c = 6.5582 Å
α = 80.67°, β = 90.00°, γ = 90.00°
Closest atoms and distances in Å follow each position.
Positions (direct):
Pb1 0.0000 0.0271 0.9830  4 In 3.33-3.71, 4 Pb 3.36-3.51, 2 Tl 3.45-3.47
Pb2 0.5000 0.2063 0.2614  4 Pb 3.36-3.51, 4 Tl 3.41-3.67, 2 In 3.45-3.47
Tl1 0.0000 0.5625 0.4925  2 In 3.30, 6 Pb 3.41-3.67, 2 Tl 3.51
In1 0.5000 0.7041 0.7630  2 Tl 3.30, 4 Pb 3.33-3.47, 2 In 3.51



Below is a relaxed TlIn2Pb4 crystal, with properties calculated at the GGA-PBE level.

* energy of formation: 0.068 eV/atom
* space-group type: No. 166
* volume: 31.89 Å³/atom
* total energy: -3.17 eV/atom
* crystal system: trigonal

a = 5.4185 Å, b = 5.4185 Å, c = 9.3200 Å
α = 73.10°, β = 73.10°, γ = 60.00°
Closest atoms and distances in Å follow each position.
Positions (direct):
Tl1 0.0000 0.0000 0.0000  8 Pb 3.42-3.50, 6 In 3.77
In1 0.7464 0.7464 0.7608  8 Pb 3.18-3.49
In2 0.2536 0.2536 0.2392  8 Pb 3.18-3.49
Pb1 0.8673 0.8673 0.3982  4 In 3.18-3.43, 1 Tl 3.50
Pb2 0.1327 0.1327 0.6018  4 In 3.18-3.43, 1 Tl 3.50
Pb3 0.6138 0.6138 0.1586  4 In 3.21-3.49, 3 Tl 3.42
Pb4 0.3862 0.3862 0.8414  4 In 3.21-3.49, 3 Tl 3.42



Below is a relaxed Tl8InPb5 crystal, with properties calculated at the GGA-PBE level.

* energy of formation: 0.077 eV/atom
* space-group type: No. 82
* volume: 32.32 Å³/atom
* total energy: -2.80 eV/atom
* crystal system: tetragonal

a = 8.3839 Å, b = 8.3839 Å, c = 8.3839 Å
α = 107.85°, β = 112.76°, γ = 107.85°
Closest atoms and distances in Å follow each position.
Positions (direct):
Tl1 0.1247 0.6632 0.0386  1 In 3.11, 5 Pb 3.29-3.42, 1 Tl 3.40
Tl2 0.9614 0.0860 0.6246  1 In 3.11, 5 Pb 3.29-3.42, 1 Tl 3.40
Tl3 0.7578 0.2953 0.3782  4 Tl 3.32-3.68, 2 Pb 3.40-3.44, 1 In 3.48
Tl4 0.6218 0.3796 0.9172  4 Tl 3.32-3.68, 2 Pb 3.40-3.44, 1 In 3.48
Tl5 0.5375 0.6204 0.2422  4 Tl 3.32-3.68, 2 Pb 3.40-3.44, 1 In 3.48
Tl6 0.5385 0.9140 0.8753  1 In 3.11, 5 Pb 3.29-3.42, 1 Tl 3.40
Tl7 0.3754 0.3368 0.4615  1 In 3.11, 5 Pb 3.29-3.42, 1 Tl 3.40
Tl8 0.0828 0.7047 0.4625  4 Tl 3.32-3.68, 2 Pb 3.40-3.44, 1 In 3.48
In1 0.2500 0.5000 0.7500  4 Tl 3.11
Pb1 0.9902 0.2652 0.0667  5 Tl 3.29-3.42, 2 Pb 3.34
Pb2 0.9333 0.9234 0.1985  5 Tl 3.29-3.42, 2 Pb 3.34
Pb3 0.8015 0.7348 0.7249  5 Tl 3.29-3.42, 2 Pb 3.34
Pb4 0.5000 0.0000 0.5000  8 Tl 3.36-3.44
Pb5 0.2751 0.0766 0.0098  5 Tl 3.29-3.42, 2 Pb 3.34



Below is a relaxed Tl7In16Pb6 crystal, with properties calculated at the GGA-PBE level.

* energy of formation: 0.098 eV/atom
* space-group type: No. 225
* volume: 30.43 Å³/atom
* total energy: -2.75 eV/atom
* crystal system: cubic

a = 10.7669 Å, b = 10.7669 Å, c = 10.7669 Å
α = 60.00°, β = 60.00°, γ = 60.00°
Closest atoms and distances in Å follow each position.
Positions (direct):
Tl1 0.5000 0.5000 0.5000  8 In 3.19
Tl2 0.5000 0.0000 0.5000  8 In 3.11-3.33
Tl3 0.0000 0.5000 0.0000  8 In 3.11-3.33
Tl4 0.5000 0.0000 0.0000  8 In 3.11-3.33
Tl5 0.0000 0.5000 0.5000  8 In 3.11-3.33
Tl6 0.5000 0.5000 0.0000  8 In 3.11-3.33
Tl7 0.0000 0.0000 0.5000  8 In 3.11-3.33
In1 0.4845 0.8385 0.8385  3 Tl 3.11, 3 In 3.42, 3 Pb 3.48
In2 0.8385 0.4845 0.8385  3 Tl 3.11, 3 In 3.42, 3 Pb 3.48
In3 0.8385 0.8385 0.8385  3 Tl 3.11, 3 In 3.42, 3 Pb 3.48
In4 0.8385 0.8385 0.4845  3 Tl 3.11, 3 In 3.42, 3 Pb 3.48
In5 0.1615 0.5155 0.1615  3 Tl 3.11, 3 In 3.42, 3 Pb 3.48
In6 0.5155 0.1615 0.1615  3 Tl 3.11, 3 In 3.42, 3 Pb 3.48
In7 0.1615 0.1615 0.1615  3 Tl 3.11, 3 In 3.42, 3 Pb 3.48
In8 0.1615 0.1615 0.5155  3 Tl 3.11, 3 In 3.42, 3 Pb 3.48
In9 0.1368 0.6211 0.6211  4 Tl 3.19-3.33, 3 In 3.42
In10 0.6211 0.1368 0.6211  4 Tl 3.19-3.33, 3 In 3.42
In11 0.6211 0.6211 0.6211  4 Tl 3.19-3.33, 3 In 3.42
In12 0.6211 0.6211 0.1368  4 Tl 3.19-3.33, 3 In 3.42
In13 0.3789 0.8632 0.3789  4 Tl 3.19-3.33, 3 In 3.42
In14 0.8632 0.3789 0.3789  4 Tl 3.19-3.33, 3 In 3.42
In15 0.3789 0.3789 0.3789  4 Tl 3.19-3.33, 3 In 3.42
In16 0.3789 0.3789 0.8632  4 Tl 3.19-3.33, 3 In 3.42
Pb1 0.1672 0.8328 0.1672  4 In 3.48, 4 Pb 3.60
Pb2 0.8328 0.1672 0.8328  4 In 3.48, 4 Pb 3.60
Pb3 0.1672 0.8328 0.8328  4 In 3.48, 4 Pb 3.60
Pb4 0.8328 0.1672 0.1672  4 In 3.48, 4 Pb 3.60
Pb5 0.1672 0.1672 0.8328  4 In 3.48, 4 Pb 3.60
Pb6 0.8328 0.8328 0.1672  4 In 3.48, 4 Pb 3.60



Below is a relaxed Tl2InPb crystal, with properties calculated at the GGA-PBE level.

* energy of formation: 0.029 eV/atom
* space-group type: No. 71
* volume: 30.07 Å³/atom
* total energy: -2.77 eV/atom
* crystal system: orthorhombic

a = 6.5605 Å, b = 6.5605 Å, c = 6.5605 Å
α = 146.28°, β = 129.17°, γ = 62.40°
Closest atoms and distances in Å follow each position.
Positions (direct):
Pb1 0.2500 0.7500 0.5000  4 In 3.40, 4 Tl 3.46, 2 Pb 3.81
Tl1 0.9927 0.9927 0.0000  2 In 3.32, 4 Tl 3.40, 2 Pb 3.46
Tl2 0.5073 0.5073 0.0000  2 In 3.32, 4 Tl 3.40, 2 Pb 3.46
In1 0.7500 0.2500 0.5000  4 Tl 3.32, 4 Pb 3.40



Below is a relaxed TlIn2Pb crystal, with properties calculated at the GGA-PBE level.

* energy of formation: 0.023 eV/atom
* space-group type: No. 35
* volume: 29.38 Å³/atom
* total energy: -2.86 eV/atom
* crystal system: orthorhombic

a = 3.4222 Å, b = 3.4222 Å, c = 10.8217 Å
α = 90.00°, β = 90.00°, γ = 111.99°
Closest atoms and distances in Å follow each position.
Positions (direct):
Pb1 0.0000 0.0000 0.4930  2 In 3.30, 4 Pb 3.42, 2 Tl 3.43
Tl1 0.5000 0.5000 0.7559  2 In 3.32, 4 Tl 3.42, 2 Pb 3.43
In1 0.0000 0.0000 0.0067  6 In 3.21-3.42, 2 Tl 3.32
In2 0.5000 0.5000 0.2445  6 In 3.21-3.42, 2 Pb 3.30